[1]
Entry from Alexandria via LeMat-Bulk: a relaxed structure of PaCuNi2 (PBE).

abc: 6.7199 3.8396 9.4252
angles: 90.00 90.00 90.00
Last column: nearest neighbours and their distance in Å.
Positions (direct):
Pa1 0.2123 0.2500 0.1737  7 Ni 2.72-2.88, 1 Cu 2.97
Pa2 0.2877 0.7500 0.6737  7 Ni 2.72-2.88, 1 Cu 2.97
Pa3 0.7123 0.2500 0.3263  7 Ni 2.72-2.88, 1 Cu 2.97
Pa4 0.7877 0.7500 0.8263  7 Ni 2.72-2.88, 1 Cu 2.97
Cu1 0.0478 0.7500 0.4087  5 Ni 2.53-2.59, 2 Cu 2.66
Cu2 0.4522 0.2500 0.9087  5 Ni 2.53-2.59, 2 Cu 2.66
Cu3 0.5478 0.7500 0.0913  5 Ni 2.53-2.59, 2 Cu 2.66
Cu4 0.9522 0.2500 0.5913  5 Ni 2.53-2.59, 2 Cu 2.66
Ni1 0.0770 0.2500 0.8445  3 Ni 2.43-2.62, 2 Cu 2.53-2.59
Ni2 0.2128 0.7500 0.9697  3 Ni 2.43-2.62, 3 Cu 2.53-2.57, 2 Pa 2.72
Ni3 0.2872 0.2500 0.4697  3 Ni 2.43-2.62, 3 Cu 2.53-2.57, 2 Pa 2.72
Ni4 0.4230 0.7500 0.3445  3 Ni 2.43-2.62, 2 Cu 2.53-2.59
Ni5 0.5770 0.2500 0.6555  3 Ni 2.43-2.62, 2 Cu 2.53-2.59
Ni6 0.7128 0.7500 0.5303  3 Ni 2.43-2.62, 3 Cu 2.53-2.57, 2 Pa 2.72
Ni7 0.7872 0.2500 0.0303  3 Ni 2.43-2.62, 3 Cu 2.53-2.57, 2 Pa 2.72
Ni8 0.9230 0.7500 0.1555  3 Ni 2.43-2.62, 2 Cu 2.53-2.59

Summary:
ΔE to the lowest computed polymorph: 0 meV/atom
DOS at the Fermi energy: 0.714 states/eV/atom
Total DFT energy (no corrections): -6.598 eV per atom
DFT formation energy: -309 meV per atom


[2]
Entry from Alexandria via LeMat-Bulk: a relaxed structure of Nd5Co2Br2 (PBE).

abc: 8.9562 8.9562 7.8457
angles: 90.00 90.00 51.68
Last column: nearest neighbours and their distance in Å.
Positions (direct):
Nd1 0.0000 0.0000 0.0000  4 Co 3.00-3.05, 2 Br 3.35
Nd2 0.0420 0.7352 0.6535  3 Co 2.91-2.93
Nd3 0.2352 0.5420 0.1535  3 Co 2.91-2.93
Nd4 0.2648 0.9580 0.6535  3 Co 2.91-2.93
Nd5 0.4580 0.7648 0.1535  3 Co 2.91-2.93
Nd6 0.5000 0.5000 0.5000  4 Co 3.00-3.05, 2 Br 3.35
Nd7 0.5420 0.2352 0.8465  3 Co 2.91-2.93
Nd8 0.7352 0.0420 0.3465  3 Co 2.91-2.93
Nd9 0.7648 0.4580 0.8465  3 Co 2.91-2.93
Nd10 0.9580 0.2648 0.3465  3 Co 2.91-2.93
Co1 0.1421 0.8579 0.3617  8 Nd 2.91-3.05, 1 Co 3.10
Co2 0.3579 0.6421 0.8617  8 Nd 2.91-3.05, 1 Co 3.10
Co3 0.6421 0.3579 0.1383  8 Nd 2.91-3.05, 1 Co 3.10
Co4 0.8579 0.1421 0.6383  8 Nd 2.91-3.05, 1 Co 3.10
Br1 0.2075 0.2075 0.0000  7 Nd 3.34-3.38
Br2 0.2925 0.2925 0.5000  7 Nd 3.34-3.38
Br3 0.7075 0.7075 0.5000  7 Nd 3.34-3.38
Br4 0.7925 0.7925 0.0000  7 Nd 3.34-3.38

Summary:
DOS at the Fermi energy: 0.748 states/eV/atom
Total DFT energy (no corrections): -5.145 eV per atom
Formation energy (no corrections): -0.55 eV/atom


[3]
Entry from Alexandria via LeMat-Bulk: a relaxed structure of CaUPd2 (PBE).

abc: 3.4145 3.4145 7.5067
angles: 90.00 90.00 90.00
Last column: nearest neighbours and their distance in Å.
Positions (direct):
Ca1 0.0000 0.0000 0.0000  8 Pd 3.16, 4 Ca 3.41
U1 0.0000 0.0000 0.5000  8 Pd 2.96
Pd1 0.5000 0.5000 0.2712  4 U 2.96, 4 Ca 3.16
Pd2 0.5000 0.5000 0.7288  4 U 2.96, 4 Ca 3.16

Summary:
ΔE to the lowest computed polymorph: 0 meV/atom
DOS at the Fermi energy: 1.698 states/eV/atom
Total DFT energy (no corrections): -6.297 eV per atom
DFT formation energy: -378 meV per atom


[4]
Entry from Alexandria via LeMat-Bulk: a relaxed structure of Sr3Cr (PBE).

abc: 4.1330 4.1330 10.1274
angles: 90.00 90.00 90.00
Last column: nearest neighbours and their distance in Å.
Positions (direct):
Sr1 0.0000 0.0000 0.0000  12 Sr 4.13-4.27
Sr2 0.5000 0.5000 0.3073  4 Cr 3.51, 1 Sr 3.90
Sr3 0.5000 0.5000 0.6927  4 Cr 3.51, 1 Sr 3.90
Cr1 0.0000 0.0000 0.5000  8 Sr 3.51

Summary:
DOS at the Fermi energy: 0.785 states/eV/atom
Total DFT energy (no corrections): -3.272 eV per atom
DFT formation energy: 395 meV per atom


[5]
Entry from Alexandria via LeMat-Bulk: a relaxed structure of NiPdRu2 (PBE).

abc: 4.2732 4.2732 4.2732
angles: 60.00 60.00 60.00
Last column: nearest neighbours and their distance in Å.
Positions (direct):
Ni1 0.0000 0.0000 0.0000  8 Ru 2.62
Pd1 0.5000 0.5000 0.5000  8 Ru 2.62
Ru1 0.2500 0.2500 0.2500  4 Ni 2.62, 4 Pd 2.62
Ru2 0.7500 0.7500 0.7500  4 Ni 2.62, 4 Pd 2.62

Summary:
ΔE to the lowest computed polymorph: 0 meV/atom
DOS at the Fermi energy: 1.551 states/eV/atom
Total DFT energy (no corrections): -6.929 eV per atom
DFT formation energy: 452 meV per atom


[6]
Entry from Alexandria via LeMat-Bulk: a relaxed structure of TbMgInAu (PBE).

abc: 5.0308 5.0308 5.0308
angles: 60.00 60.00 60.00
Last column: nearest neighbours and their distance in Å.
Positions (direct):
Tb1 0.0000 0.0000 0.0000  4 In 3.08, 4 Au 3.08
Mg1 0.5000 0.5000 0.5000  4 Au 3.08, 4 In 3.08
In1 0.7500 0.7500 0.7500  4 Mg 3.08, 4 Tb 3.08
Au1 0.2500 0.2500 0.2500  4 Mg 3.08, 4 Tb 3.08

Summary:
DOS at the Fermi energy: 0.626 states/eV/atom
Total DFT energy (no corrections): -3.617 eV per atom
DFT formation energy: -557 meV per atom